Computed, not measured: crystalline Pr2Sm3Mg3 at its relaxed geometry at the PBE-GGA level of DFT.

Structure (CIF):
```
data_Pr2Sm3Mg3
_cell_length_a 3.890
_cell_length_b 5.541
_cell_length_c 11.900
_cell_angle_alpha 103.46
_cell_angle_beta 99.41
_cell_angle_gamma 90.00
_space_group_name_H-M_alt 'P 1'
_space_group_IT_number 1
_space_group_name_Hall 'P 1'
loop_
_atom_site_label
_atom_site_type_symbol
_atom_site_fract_x
_atom_site_fract_y
_atom_site_fract_z
Sm1 Sm 0.621 0.621 0.243
Sm2 Sm 0.379 0.379 0.757
Sm3 Sm 0.500 0.000 0.000
Pr1 Pr 0.266 0.766 0.531
Pr2 Pr 0.734 0.234 0.469
Mg1 Mg 0.115 0.115 0.231
Mg2 Mg 0.000 0.500 0.000
Mg3 Mg 0.885 0.885 0.769
```

Results
- energy of formation (eV/atom) = -0.06
- calculated volume (Å³ per cell) = 246
- density (g cm⁻³) = 5.44
- uncorrected energy (eV/atom) = -3.6212
- space group = Immm (71)

=====

Computed, not measured: crystalline PrSm4Mg2 at its relaxed geometry at the PBE-GGA level of DFT.

Structure (CIF):
```
data_PrSm4Mg2
_cell_length_a 5.549
_cell_length_b 5.549
_cell_length_c 8.819
_cell_angle_alpha 71.66
_cell_angle_beta 71.66
_cell_angle_gamma 60.00
_space_group_name_H-M_alt 'P 1'
_space_group_IT_number 1
_space_group_name_Hall 'P 1'
loop_
_atom_site_label
_atom_site_type_symbol
_atom_site_fract_x
_atom_site_fract_y
_atom_site_fract_z
Mg1 Mg 0.650 0.650 0.051
Mg2 Mg 0.350 0.350 0.949
Sm1 Sm 0.066 0.066 0.802
Sm2 Sm 0.934 0.934 0.198
Sm3 Sm 0.207 0.207 0.378
Sm4 Sm 0.793 0.793 0.622
Pr1 Pr 0.500 0.500 0.500
```

Results
- energy of formation (eV/atom) = 0.07
- calculated volume (Å³ per cell) = 219
- density (g cm⁻³) = 6.00
- uncorrected energy (eV/atom) = -3.7677
- space group = R-3m (166)

=====

Computed, not measured: crystalline Pr5Sm6Mg2 at its relaxed geometry at the PBE-GGA level of DFT.

Structure (CIF):
```
data_Pr5Sm6Mg2
_cell_length_a 3.597
_cell_length_b 10.711
_cell_length_c 23.006
_cell_angle_alpha 90.00
_cell_angle_beta 90.00
_cell_angle_gamma 90.00
_space_group_name_H-M_alt 'P 1'
_space_group_IT_number 1
_space_group_name_Hall 'P 1'
loop_
_atom_site_label
_atom_site_type_symbol
_atom_site_fract_x
_atom_site_fract_y
_atom_site_fract_z
Pr1 Pr 0.500 0.168 0.995
Pr2 Pr 0.500 0.583 0.251
Pr3 Pr 0.500 0.668 0.505
Pr4 Pr 0.500 0.083 0.249
Pr5 Pr 0.500 0.917 0.751
Pr6 Pr 0.500 0.332 0.495
Pr7 Pr 0.500 0.000 0.500
Pr8 Pr 0.500 0.417 0.749
Pr9 Pr 0.500 0.832 0.005
Pr10 Pr 0.500 0.500 0.000
Sm1 Sm 0.000 0.018 0.114
Sm2 Sm 0.000 0.646 0.118
Sm3 Sm 0.000 0.518 0.386
Sm4 Sm 0.500 0.832 0.365
Sm5 Sm 0.000 0.482 0.614
Sm6 Sm 0.000 0.146 0.382
Sm7 Sm 0.000 0.354 0.882
Sm8 Sm 0.500 0.668 0.865
Sm9 Sm 0.500 0.168 0.635
Sm10 Sm 0.000 0.982 0.886
Sm11 Sm 0.000 0.854 0.618
Sm12 Sm 0.500 0.332 0.135
Mg1 Mg 0.000 0.333 0.262
Mg2 Mg 0.000 0.667 0.738
Mg3 Mg 0.000 0.833 0.238
Mg4 Mg 0.000 0.167 0.762
```

Results
- energy of formation (eV/atom) = 0.12
- calculated volume (Å³ per cell) = 886
- density (g cm⁻³) = 6.20
- uncorrected energy (eV/atom) = -4.1430
- space group = Pbam (55)

=====

Computed, not measured: crystalline Pr3SmMg3 at its relaxed geometry at the PBE-GGA level of DFT.

Structure (CIF):
```
data_Pr3SmMg3
_cell_length_a 6.582
_cell_length_b 6.582
_cell_length_c 10.889
_cell_angle_alpha 90.45
_cell_angle_beta 90.45
_cell_angle_gamma 111.04
_space_group_name_H-M_alt 'P 1'
_space_group_IT_number 1
_space_group_name_Hall 'P 1'
loop_
_atom_site_label
_atom_site_type_symbol
_atom_site_fract_x
_atom_site_fract_y
_atom_site_fract_z
Mg1 Mg 0.008 0.500 0.249
Mg2 Mg 0.001 0.001 0.240
Mg3 Mg 0.500 0.008 0.249
Mg4 Mg 0.992 0.500 0.751
Mg5 Mg 0.999 0.999 0.760
Mg6 Mg 0.500 0.992 0.751
Pr1 Pr 0.774 0.226 0.000
Pr2 Pr 0.174 0.826 0.500
Pr3 Pr 0.516 0.516 0.331
Pr4 Pr 0.226 0.774 0.000
Pr5 Pr 0.826 0.174 0.500
Pr6 Pr 0.484 0.484 0.669
Sm1 Sm 0.288 0.288 0.004
Sm2 Sm 0.712 0.712 0.996
```

Results
- energy of formation (eV/atom) = 0.07
- calculated volume (Å³ per cell) = 440
- density (g cm⁻³) = 4.87
- uncorrected energy (eV/atom) = -3.3371
- space group = C2/m (12)

=====

Computed, not measured: crystalline Pr4SmMg2 at its relaxed geometry at the PBE-GGA level of DFT.

Structure (CIF):
```
data_Pr4SmMg2
_cell_length_a 5.702
_cell_length_b 5.702
_cell_length_c 9.632
_cell_angle_alpha 72.78
_cell_angle_beta 72.78
_cell_angle_gamma 60.00
_space_group_name_H-M_alt 'P 1'
_space_group_IT_number 1
_space_group_name_Hall 'P 1'
loop_
_atom_site_label
_atom_site_type_symbol
_atom_site_fract_x
_atom_site_fract_y
_atom_site_fract_z
Pr1 Pr 0.630 0.630 0.111
Pr2 Pr 0.758 0.758 0.727
Pr3 Pr 0.370 0.370 0.889
Pr4 Pr 0.242 0.242 0.273
Mg1 Mg 0.121 0.121 0.636
Mg2 Mg 0.879 0.879 0.364
Sm1 Sm 0.000 0.000 0.000
```

Results
- energy of formation (eV/atom) = 0.26
- calculated volume (Å³ per cell) = 255
- density (g cm⁻³) = 4.97
- uncorrected energy (eV/atom) = -3.6050
- space group = R-3m (166)

=====

Computed, not measured: crystalline Pr6Sm2Mg at its relaxed geometry at the PBE-GGA level of DFT.

Structure (CIF):
```
data_Pr6Sm2Mg
_cell_length_a 5.199
_cell_length_b 10.911
_cell_length_c 10.909
_cell_angle_alpha 90.00
_cell_angle_beta 90.00
_cell_angle_gamma 90.00
_space_group_name_H-M_alt 'P 1'
_space_group_IT_number 1
_space_group_name_Hall 'P 1'
loop_
_atom_site_label
_atom_site_type_symbol
_atom_site_fract_x
_atom_site_fract_y
_atom_site_fract_z
Pr1 Pr 0.000 0.001 0.169
Pr2 Pr 0.000 0.664 0.837
Pr3 Pr 0.000 0.336 0.163
Pr4 Pr 0.500 0.831 0.001
Pr5 Pr 0.500 0.164 0.663
Pr6 Pr 0.000 0.669 0.501
Pr7 Pr 0.500 0.501 0.331
Pr8 Pr 0.500 0.836 0.337
Pr9 Pr 0.500 0.169 0.999
Pr10 Pr 0.000 0.999 0.831
Pr11 Pr 0.000 0.331 0.499
Pr12 Pr 0.500 0.499 0.669
Mg1 Mg 0.000 0.000 0.500
Mg2 Mg 0.500 0.500 0.000
Sm1 Sm 0.000 0.333 0.832
Sm2 Sm 0.500 0.167 0.332
Sm3 Sm 0.000 0.667 0.168
Sm4 Sm 0.500 0.833 0.668
```

Results
- distance to the lowest polymorph of the same formula (eV per atom) = 0.000
- energy of formation (eV/atom) = 0.02
- calculated volume (Å³ per cell) = 619
- density (g cm⁻³) = 6.28
- uncorrected energy (eV/atom) = -4.3960
- space group = P4_2/mnm (136)

=====

Computed, not measured: crystalline Pr2Sm8Mg at its relaxed geometry at the PBE-GGA level of DFT.

Structure (CIF):
```
data_Pr2Sm8Mg
_cell_length_a 5.650
_cell_length_b 7.800
_cell_length_c 9.815
_cell_angle_alpha 113.41
_cell_angle_beta 106.73
_cell_angle_gamma 90.00
_space_group_name_H-M_alt 'P 1'
_space_group_IT_number 1
_space_group_name_Hall 'P 1'
loop_
_atom_site_label
_atom_site_type_symbol
_atom_site_fract_x
_atom_site_fract_y
_atom_site_fract_z
Sm1 Sm 0.634 0.854 0.268
Sm2 Sm 0.000 0.735 0.000
Sm3 Sm 0.000 0.265 0.000
Sm4 Sm 0.827 0.827 0.653
Sm5 Sm 0.366 0.146 0.732
Sm6 Sm 0.173 0.173 0.347
Sm7 Sm 0.366 0.586 0.732
Sm8 Sm 0.634 0.414 0.268
Pr1 Pr 0.195 0.695 0.390
Pr2 Pr 0.805 0.305 0.610
Mg1 Mg 0.500 0.000 0.000
```

Results
- distance to the lowest polymorph of the same formula (eV per atom) = 0.000
- energy of formation (eV/atom) = 0.11
- calculated volume (Å³ per cell) = 377
- density (g cm⁻³) = 6.65
- uncorrected energy (eV/atom) = -4.3401
- space group = Immm (71)

=====

Computed, not measured: crystalline Pr3Sm2Mg at its relaxed geometry at the PBE-GGA level of DFT.

Structure (CIF):
```
data_Pr3Sm2Mg
_cell_length_a 3.748
_cell_length_b 11.766
_cell_length_c 11.262
_cell_angle_alpha 124.14
_cell_angle_beta 99.58
_cell_angle_gamma 90.00
_space_group_name_H-M_alt 'P 1'
_space_group_IT_number 1
_space_group_name_Hall 'P 1'
loop_
_atom_site_label
_atom_site_type_symbol
_atom_site_fract_x
_atom_site_fract_y
_atom_site_fract_z
Pr1 Pr 0.072 0.724 0.145
Pr2 Pr 0.744 0.865 0.489
Pr3 Pr 0.256 0.135 0.511
Pr4 Pr 0.928 0.276 0.855
Pr5 Pr 0.604 0.487 0.208
Pr6 Pr 0.396 0.513 0.792
Sm1 Sm 0.277 0.647 0.555
Sm2 Sm 0.723 0.353 0.445
Sm3 Sm 0.057 0.181 0.114
Sm4 Sm 0.943 0.819 0.886
Mg1 Mg 0.401 0.006 0.802
Mg2 Mg 0.599 0.994 0.198
```

Results
- energy of formation (eV/atom) = 0.01
- calculated volume (Å³ per cell) = 403
- density (g cm⁻³) = 6.17
- uncorrected energy (eV/atom) = -4.2216
- space group = C2/m (12)

=====

Computed, not measured: crystalline Pr4SmMg3 at its relaxed geometry at the PBE-GGA level of DFT.

Structure (CIF):
```
data_Pr4SmMg3
_cell_length_a 3.873
_cell_length_b 5.668
_cell_length_c 11.427
_cell_angle_alpha 90.00
_cell_angle_beta 90.00
_cell_angle_gamma 90.00
_space_group_name_H-M_alt 'P 1'
_space_group_IT_number 1
_space_group_name_Hall 'P 1'
loop_
_atom_site_label
_atom_site_type_symbol
_atom_site_fract_x
_atom_site_fract_y
_atom_site_fract_z
Mg1 Mg 0.500 0.000 0.749
Mg2 Mg 0.500 0.500 0.500
Mg3 Mg 0.500 0.000 0.251
Pr1 Pr 0.000 0.000 0.500
Pr2 Pr 0.000 0.500 0.263
Pr3 Pr 0.000 0.500 0.737
Pr4 Pr 0.000 0.000 0.000
Sm1 Sm 0.500 0.500 0.000
```

Results
- energy of formation (eV/atom) = -0.04
- calculated volume (Å³ per cell) = 251
- density (g cm⁻³) = 5.21
- uncorrected energy (eV/atom) = -3.6190
- space group = Pmmm (47)

=====

Computed, not measured: crystalline PrSmMg6 at its relaxed geometry at the PBE-GGA level of DFT.

Structure (CIF):
```
data_PrSmMg6
_cell_length_a 5.225
_cell_length_b 6.808
_cell_length_c 6.808
_cell_angle_alpha 119.98
_cell_angle_beta 90.00
_cell_angle_gamma 90.00
_space_group_name_H-M_alt 'P 1'
_space_group_IT_number 1
_space_group_name_Hall 'P 1'
loop_
_atom_site_label
_atom_site_type_symbol
_atom_site_fract_x
_atom_site_fract_y
_atom_site_fract_z
Mg1 Mg 0.500 0.427 0.089
Mg2 Mg 0.000 0.076 0.413
Mg3 Mg 0.500 0.911 0.573
Mg4 Mg 0.000 0.587 0.924
Mg5 Mg 0.000 0.587 0.413
Mg6 Mg 0.500 0.911 0.089
Sm1 Sm 0.500 0.416 0.584
Pr1 Pr 0.000 0.083 0.917
```

Results
- energy of formation (eV/atom) = -0.10
- calculated volume (Å³ per cell) = 210
- density (g cm⁻³) = 3.46
- uncorrected energy (eV/atom) = -2.4809
- space group = P-6m2 (187)

=====

Look up the uncorrected energy of the sixth one.
-4.3960 eV/atom